--- 1 ---
A geometry-optimized CePmO structure, computed with GGA-PBE.

a = 4.9766 Å, b = 6.1389 Å, c = 4.9766 Å
α = 66.10°, β = 89.97°, γ = 113.90°
Sites, in units of the cell vectors:
Ce: 0.4492 0.5000 0.5508
Ce: 0.9492 0.5000 0.0508
O: 0.6991 0.0000 0.3009
O: 0.1993 0.0000 0.8007
Pm: 0.1992 0.0000 0.3007
Pm: 0.6993 0.0000 0.8008

--- 2 ---
A geometry-optimized CePmO structure, computed with GGA-PBE.

a = 3.6594 Å, b = 3.6594 Å, c = 5.9480 Å
α = 90.00°, β = 90.00°, γ = 120.00°
Sites, in units of the cell vectors:
O: 0.6667 0.3333 0.3222
Pm: 0.3333 0.6667 0.5658
Ce: 0.0000 0.0000 0.1120

It is 1 that is most stable; the runner-up trails by 106 meV per atom.